The following is a DFT calculation (PBE) of Mg3AlPt after structural relaxation.

a b c (Å): 4.9974 4.9974 4.9974
angles (deg): 90.00 90.00 90.00
Element x y z (fractional)
Mg 0.0000 0.5000 0.0000
Mg 0.0000 0.0000 0.5000
Mg 0.5000 0.0000 0.0000
Al 0.5000 0.5000 0.5000
Pt 0.0000 0.0000 0.0000

Output
The total magnetization comes out at 0.0 μB/f.u. The value obtained for the energy relative to the lowest polymorph listed for this composition is 0 meV/atom. The calculation puts the density of states at the Fermi level at 2.09 states/eV/cell. As for the calculated formation energy: -7.54 kJ per mole of atoms. As for the space group: Pm-3m. The total DFT energy (no corrections) comes out at -15.0 eV for the cell shown.